# 1
A relaxed Sm2AsH crystal. Source: Alexandria, functional PBE-GGA.

Crystal system = trigonal
Raw total energy = -5.095 eV/atom

```
Sm2AsH
1.0
1.9551 1.1288 6.8086
-1.9551 1.1288 6.8086
0.0000 -2.2575 6.8086
Sm As H
2 1 1
Cartesian
0.0000 0.0000 0.0000
0.0000 0.0000 3.3476
0.0000 0.0000 11.8615
0.0000 0.0000 8.1648
```

***

# 2
A relaxed Sc2Zn2Cu crystal. Source: Alexandria, functional PBE-GGA.

Crystal system = tetragonal
Formation enthalpy at 0 K = 46 kJ/mol of formula units

```
Sc2Zn2Cu
1.0
7.1679 0.0000 0.0000
0.0000 7.1679 0.0000
0.0000 0.0000 3.8971
Sc Zn Cu
4 4 2
Cartesian
1.1322 2.4517 0.0000
2.4517 6.0357 0.0000
4.7161 1.1322 0.0000
6.0357 4.7161 0.0000
0.9980 4.5819 1.9485
2.5859 0.9980 1.9485
4.5819 6.1699 1.9485
6.1699 2.5859 1.9485
0.0000 0.0000 0.0000
3.5839 3.5839 0.0000
```

***

# 3
A relaxed Hf3AlGa6 crystal. Source: Alexandria, functional PBE-GGA.

Crystal system = trigonal
Formation enthalpy at 0 K = -295 kJ/mol of formula units

```
Hf3AlGa6
1.0
5.3533 3.0907 3.5898
-5.3533 3.0907 3.5898
0.0000 -6.1814 3.5898
Hf Al Ga
6 2 12
Cartesian
-3.0127 0.9632 4.4873
-2.3405 -2.1275 6.2822
0.6722 -3.0907 4.4873
-0.6722 3.0907 6.2822
2.3405 2.1275 4.4873
3.0127 -0.9632 6.2822
0.0000 0.0000 0.0000
0.0000 0.0000 5.3848
-0.4010 -1.9379 1.6630
-1.4778 1.3163 1.6630
-1.4778 -1.3163 3.7217
1.8788 0.6216 1.6630
-0.4010 1.9379 3.7217
1.8788 -0.6216 3.7217
-1.8788 0.6216 7.0478
0.4010 -1.9379 7.0478
-1.8788 -0.6216 9.1065
1.4778 1.3163 7.0478
1.4778 -1.3163 9.1065
0.4010 1.9379 9.1065
```

***

# 4
A relaxed La2Al3Au9 crystal. Source: Alexandria, functional PBE-GGA.

Crystal system = monoclinic
Formation enthalpy at 0 K = -840 kJ/mol of formula units

```
La2Al3Au9
1.0
6.9996 -3.9856 0.0000
6.9996 3.9856 0.0000
-4.7479 0.0000 10.0345
La Al Au
4 6 18
Cartesian
1.1849 0.6668 2.4786
-1.1891 -0.6668 7.4959
10.4403 0.6668 2.5386
8.0663 -0.6668 7.5559
3.4998 1.9928 0.0000
3.4118 2.0805 5.0497
3.4655 2.0805 10.0021
1.1258 -1.9928 5.0173
5.7857 -2.0805 0.0325
5.8394 -2.0805 4.9848
5.8088 3.3187 0.7159
5.8164 3.3187 4.3013
1.1420 0.6468 5.6592
4.2446 1.5222 2.5843
1.0799 0.6845 9.4363
3.5159 -0.6468 0.6419
3.4386 1.1371 7.5259
7.3805 1.5222 2.4329
3.4538 -0.6845 4.4191
5.7974 0.6845 5.6155
1.8707 -1.5222 7.6016
5.8126 -1.1371 2.5086
5.7353 0.6468 9.3926
8.1713 -0.6845 0.5982
5.0066 -1.5222 7.4502
8.1092 -0.6468 4.3753
3.4348 -3.3187 5.7332
3.4424 -3.3187 9.3186
```

***

# 5
A relaxed LaH3Pt crystal. Source: Alexandria, functional PBE-GGA.

Crystal system = hexagonal
Raw total energy = -4.583 eV/atom

```
LaH3Pt
1.0
4.3886 0.0000 0.0000
-2.1943 3.8006 0.0000
0.0000 0.0000 7.1400
La H Pt
2 6 2
Cartesian
0.0000 2.5337 1.7850
2.1943 1.2669 5.3550
0.0000 0.0000 1.7850
0.0000 0.0000 5.3550
0.0000 2.5337 4.3967
0.0000 2.5337 6.3133
2.1943 1.2669 0.8267
2.1943 1.2669 2.7433
0.0000 0.0000 0.0000
0.0000 0.0000 3.5700
```

***

# 6
A relaxed B5C7 crystal. Source: Alexandria, functional PBE-GGA.

Crystal system = triclinic
Formation enthalpy at 0 K = 411 kJ/mol of formula units

```
B5C7
1.0
3.6512 0.0000 0.0000
-0.1184 3.8943 0.0000
-0.0144 -1.8290 5.6344
B C
5 7
Cartesian
0.0000 0.0000 0.0000
-0.0703 1.8511 2.1788
1.4940 -0.1641 5.6142
1.5629 1.9645 3.9661
2.8495 3.2980 1.4847
0.7132 -0.7909 2.9357
0.6848 0.9371 4.8379
0.7843 0.8829 1.2135
1.7007 0.0845 2.1624
2.5486 0.9909 3.0416
2.6207 -0.8986 4.8059
3.4531 0.0707 3.9368
```

***

# 7
A relaxed TlPbI2O crystal. Source: Alexandria, functional PBE-GGA.

Crystal system = tetragonal
Formation energy (no corrections) = -0.491 eV per atom

```
TlPbI2O
1.0
6.3090 0.0000 0.0000
0.0000 6.3090 0.0000
0.0000 0.0000 4.2401
Tl Pb I O
1 1 2 1
Cartesian
0.0000 0.0000 0.0000
3.1545 3.1545 2.1200
0.0000 3.1545 2.1200
3.1545 0.0000 2.1200
3.1545 3.1545 0.0000
```

***

# 8
A relaxed TaZn3Ni crystal. Source: Alexandria, functional PBE-GGA.

Crystal system = cubic
Formation enthalpy at 0 K = 302 kJ/mol of formula units

```
TaZn3Ni
1.0
4.3566 0.0000 0.0000
0.0000 4.3566 0.0000
0.0000 0.0000 4.3566
Ta Zn Ni
1 3 1
Cartesian
0.0000 0.0000 0.0000
0.0000 2.1783 2.1783
2.1783 0.0000 2.1783
2.1783 2.1783 0.0000
2.1783 2.1783 2.1783
```

***

# 9
A relaxed HfBe2Rh crystal. Source: Alexandria, functional PBE-GGA.

Crystal system = cubic
Formation enthalpy at 0 K = -168 kJ/mol of formula units

```
HfBe2Rh
1.0
0.0000 2.9350 2.9350
2.9350 0.0000 2.9350
2.9350 2.9350 0.0000
Hf Be Rh
1 2 1
Cartesian
0.0000 0.0000 0.0000
1.4675 1.4675 1.4675
4.4025 4.4025 4.4025
2.9350 2.9350 2.9350
```

***

# 10
A relaxed Hf2RuC crystal. Source: Alexandria, functional PBE-GGA.

Crystal system = tetragonal
Formation enthalpy at 0 K = 15 kJ/mol of formula units

```
Hf2RuC
1.0
-3.1991 3.1991 3.2728
3.1991 -3.1991 3.2728
3.1991 3.1991 -3.2728
Hf Ru C
4 2 2
Cartesian
4.7987 1.2300 -0.8182
1.2300 1.5996 0.8182
-1.5996 1.9691 2.4546
1.9691 1.5996 4.0909
3.1991 0.0000 1.6364
0.0000 0.0000 3.2728
0.0000 0.0000 0.0000
0.0000 3.1991 1.6364
```

***

# 11
A relaxed Ca4SiSe6 crystal. Source: Alexandria, functional PBE-GGA.

Crystal system = monoclinic
Formation energy (no corrections) = -1.483 eV per atom

```
Ca4SiSe6
1.0
6.9396 -3.7940 0.0000
6.9396 3.7940 0.0000
-5.2188 0.0000 12.7921
Ca Si Se
8 2 12
Cartesian
4.3302 2.9088 6.3960
4.8782 0.9431 0.5884
4.2932 1.4110 11.1171
2.2688 -0.9431 6.9844
9.9464 1.3485 2.7920
6.9026 -1.4110 4.7211
6.9396 -2.9088 0.0000
7.3370 -1.3485 9.1880
6.5004 2.0951 3.5149
3.8910 -2.0951 9.9109
1.7555 1.8168 6.8169
4.2425 2.2779 3.1445
0.8931 0.0526 2.8780
-1.7163 -0.0526 9.2740
1.6151 2.0681 11.6953
6.8208 1.5426 5.7408
7.2669 0.2325 2.3489
4.3649 -1.8168 0.4209
4.6575 -0.2325 8.7449
1.6331 -2.2779 9.5406
4.2245 -2.0681 5.2993
4.2114 -1.5426 12.1368
```

***

# 12
A relaxed CeSc2Te2 crystal. Source: Alexandria, functional PBE-GGA.

Crystal system = monoclinic
Formation energy (no corrections) = -0.763 eV per atom

```
CeSc2Te2
1.0
4.8471 -5.8318 0.0000
4.8471 5.8318 0.0000
-3.2132 0.0000 5.0175
Ce Sc Te
2 4 4
Cartesian
2.4372 4.6547 3.7631
4.0438 -4.6547 1.2544
3.0144 1.0463 0.0591
1.4079 -1.0463 2.5678
5.0732 1.0463 2.4497
3.4666 -1.0463 4.9584
4.0438 3.5919 1.2544
2.4372 1.3892 3.7631
4.0438 -1.3892 1.2544
2.4372 -3.5919 3.7631
```

***

# 13
A relaxed KCaSnSe3 crystal. Source: Alexandria, functional PBE-GGA.

Crystal system = orthorhombic
Formation energy (no corrections) = -1.123 eV per atom

```
KCaSnSe3
1.0
2.3881 -7.3138 0.0000
2.3881 7.3138 0.0000
0.0000 0.0000 11.3769
K Ca Sn Se
2 2 2 6
Cartesian
2.3881 3.7792 8.5327
2.3881 -3.7792 2.8442
0.0000 0.0000 0.0000
0.0000 0.0000 5.6884
2.3881 0.2011 2.8442
2.3881 -0.2011 8.5327
2.3881 6.2415 2.8442
2.3881 1.8112 0.7968
2.3881 1.8112 4.8916
2.3881 -1.8112 6.4853
2.3881 -1.8112 10.5801
2.3881 -6.2415 8.5327
```

***

# 14
A relaxed HoNbRh2 crystal. Source: Alexandria, functional PBE-GGA.

Crystal system = tetragonal
Formation enthalpy at 0 K = -212 kJ/mol of formula units

```
HoNbRh2
1.0
3.1904 0.0000 0.0000
0.0000 3.1904 0.0000
0.0000 0.0000 7.1398
Ho Nb Rh
1 1 2
Cartesian
0.0000 0.0000 0.0000
0.0000 0.0000 3.5699
1.5952 1.5952 2.0204
1.5952 1.5952 5.1195
```

***

# 15
A relaxed ScTlMo2 crystal. Source: Alexandria, functional PBE-GGA.

Crystal system = orthorhombic
Formation enthalpy at 0 K = 88 kJ/mol of formula units

```
ScTlMo2
1.0
-1.7490 2.3823 4.5469
1.7490 -2.3823 4.5469
1.7490 2.3823 -4.5469
Sc Tl Mo
1 1 2
Cartesian
0.0000 0.0000 0.0000
1.7490 0.0000 2.5144
0.0000 0.0000 4.9712
0.0000 2.3823 2.2572
```

***

# 16
A relaxed Tm6Al2Ni crystal. Source: Alexandria, functional PBE-GGA.

Crystal system = orthorhombic
Formation enthalpy at 0 K = -70 kJ/mol of formula units

```
Tm6Al2Ni
1.0
-2.4332 3.4969 7.2439
2.4332 -3.4969 7.2439
2.4332 3.4969 -7.2439
Tm Al Ni
6 2 1
Cartesian
2.4332 1.6788 -2.2957
0.0000 1.6148 0.0000
2.4332 1.6788 2.2957
0.0000 1.8181 4.9482
0.0000 5.3790 0.0000
0.0000 1.8181 9.5396
2.4332 0.0000 4.8357
0.0000 3.4969 2.4082
2.4332 0.0000 0.0000
```

***

# 17
A relaxed YTa2Se crystal. Source: Alexandria, functional PBE-GGA.

Crystal system = orthorhombic
Formation energy (no corrections) = 0.112 eV per atom

```
YTa2Se
1.0
-1.7494 2.5833 4.5930
1.7494 -2.5833 4.5930
1.7494 2.5833 -4.5930
Y Ta Se
1 2 1
Cartesian
0.0000 0.0000 0.0000
0.0000 0.0000 4.4791
0.0000 2.5833 2.0628
1.7494 0.0000 2.4301
```

***

# 18
A relaxed Cu2BiP2 crystal. Source: Alexandria, functional PBE-GGA.

Crystal system = tetragonal
Formation enthalpy at 0 K = 118 kJ/mol of formula units

```
Cu2BiP2
1.0
-1.9472 1.9472 5.5884
1.9472 -1.9472 5.5884
1.9472 1.9472 -5.5884
Cu Bi P
2 1 2
Cartesian
0.0000 0.0000 1.2984
0.0000 0.0000 9.8784
0.0000 0.0000 5.5884
1.9472 0.0000 2.7942
0.0000 1.9472 2.7942
```

***

# 19
A relaxed BeHg4 crystal. Source: Alexandria, functional PBE-GGA.

Crystal system = cubic
Formation enthalpy at 0 K = 87 kJ/mol of formula units

```
BeHg4
1.0
-3.0852 3.0852 3.0852
3.0852 -3.0852 3.0852
3.0852 3.0852 -3.0852
Be Hg
1 4
Cartesian
0.0000 0.0000 0.0000
1.5426 1.5426 -1.5426
1.5426 -1.5426 1.5426
-1.5426 1.5426 1.5426
1.5426 1.5426 1.5426
```

***

# 20
A relaxed BaAu3Cl crystal. Source: Alexandria, functional PBE-GGA.

Crystal system = cubic
Formation energy (no corrections) = 0.114 eV per atom

```
BaAu3Cl
1.0
5.2340 0.0000 0.0000
0.0000 5.2340 0.0000
0.0000 0.0000 5.2340
Ba Au Cl
1 3 1
Cartesian
0.0000 0.0000 0.0000
0.0000 2.6170 2.6170
2.6170 0.0000 2.6170
2.6170 2.6170 0.0000
2.6170 2.6170 2.6170
```

***

# 21
A relaxed Nb2InTe crystal. Source: Alexandria, functional PBE-GGA.

Crystal system = cubic
Formation energy (no corrections) = 0.177 eV per atom

```
Nb2InTe
1.0
0.0000 3.4180 3.4180
3.4180 0.0000 3.4180
3.4180 3.4180 0.0000
Nb In Te
2 1 1
Cartesian
1.7090 1.7090 1.7090
5.1270 5.1270 5.1270
0.0000 0.0000 0.0000
3.4180 3.4180 3.4180
```

***

# 22
A relaxed Pu2Tl3NiSe6 crystal. Source: Alexandria, functional PBE-GGA.

Crystal system = monoclinic
Formation energy (no corrections) = -0.760 eV per atom

```
Pu2Tl3NiSe6
1.0
3.5142 -6.0769 0.0000
3.5142 6.0769 0.0000
-2.3561 0.0000 7.7682
Pu Tl Ni Se
2 3 1 6
Cartesian
3.5142 4.0593 0.0000
3.5142 -4.0593 0.0000
-1.1780 0.0000 3.8841
2.3361 2.0995 3.8841
2.3361 -2.0995 3.8841
3.5142 0.0000 0.0000
0.0586 1.9057 6.2672
1.2848 0.0000 1.5503
0.0586 -1.9057 6.2672
4.6136 1.9057 1.5011
3.3875 0.0000 6.2180
4.6136 -1.9057 1.5011
```

***

# 23
A relaxed Cu3AgAu2 crystal. Source: Alexandria, functional PBE-GGA.

Crystal system = monoclinic
Formation enthalpy at 0 K = -1 kJ/mol of formula units

```
Cu3AgAu2
1.0
4.1676 -6.0710 0.0000
4.1676 6.0710 0.0000
-2.0062 0.0000 3.5752
Cu Ag Au
6 2 4
Cartesian
2.0838 3.0355 0.0000
1.0513 1.0223 1.7687
0.0481 -1.0223 3.5563
1.0807 -3.0355 1.7876
6.2808 1.0223 0.0189
5.2777 -1.0223 1.8065
3.6660 0.9816 0.8938
2.6629 -0.9816 2.6814
3.6660 5.0434 0.8938
2.6629 2.9819 2.6814
3.6660 -2.9819 0.8938
2.6629 -5.0434 2.6814
```